# Zr2InNi (GGA-PBE, optimized geometry)
data_Zr2InNi
_space_group_name_H-M_alt 'R -3 m'
_space_group_IT_number 166
_space_group_name_Hall '-R 3 2"'
_cell_length_a 3.4801
_cell_length_b 3.4801
_cell_length_c 24.5465
_cell_angle_alpha 90.00
_cell_angle_beta 90.00
_cell_angle_gamma 120.00
loop_
_atom_site_label
_atom_site_type_symbol
_atom_site_fract_x
_atom_site_fract_y
_atom_site_fract_z
_atom_site_occupancy
Zr1 Zr 0.0000 0.0000 0.2323 1
In1 In 0.0000 0.0000 0.0000 1
Ni1 Ni 0.0000 0.0000 0.5000 1
# volume: 21.5 Å³ per atom

# LiMg2Rh3O8 (GGA-PBE, optimized geometry)
data_LiMg2Rh3O8
_space_group_name_H-M_alt 'R 3 m'
_space_group_IT_number 160
_space_group_name_Hall 'R 3 -2"'
_cell_length_a 6.1473
_cell_length_b 6.1473
_cell_length_c 14.4786
_cell_angle_alpha 90.00
_cell_angle_beta 90.00
_cell_angle_gamma 120.00
loop_
_atom_site_label
_atom_site_type_symbol
_atom_site_fract_x
_atom_site_fract_y
_atom_site_fract_z
_atom_site_occupancy
Li1 Li 0.0000 0.0000 0.0000 1
Mg1 Mg 0.0000 0.0000 0.2363 1
Mg2 Mg 0.0000 0.0000 0.6210 1
Rh1 Rh 0.1674 0.3348 0.4522 1
O1 O 0.0000 0.0000 0.3775 1
O2 O 0.0000 0.0000 0.8578 1
O3 O 0.0244 0.5122 0.3802 1
O4 O 0.1807 0.3615 0.1987 1
# volume: 11.3 Å³ per atom
# E_form (uncorrected): -1.4504 eV/atom

# YHoNiOs (GGA-PBE, optimized geometry)
data_YHoNiOs
_space_group_name_H-M_alt 'F -4 3 m'
_space_group_IT_number 216
_space_group_name_Hall 'F -4 2 3'
_cell_length_a 6.7869
_cell_length_b 6.7869
_cell_length_c 6.7869
_cell_angle_alpha 90.00
_cell_angle_beta 90.00
_cell_angle_gamma 90.00
loop_
_atom_site_label
_atom_site_type_symbol
_atom_site_fract_x
_atom_site_fract_y
_atom_site_fract_z
_atom_site_occupancy
Y1 Y 0.0000 0.0000 0.0000 1
Ho1 Ho 0.0000 0.0000 0.5000 1
Ni1 Ni 0.2500 0.2500 0.2500 1
Os1 Os 0.2500 0.2500 0.7500 1
# volume: 19.5 Å³ per atom

# PmSmAlCu (GGA-PBE, optimized geometry)
data_PmSmAlCu
_space_group_name_H-M_alt 'F -4 3 m'
_space_group_IT_number 216
_space_group_name_Hall 'F -4 2 3'
_cell_length_a 7.3029
_cell_length_b 7.3029
_cell_length_c 7.3029
_cell_angle_alpha 90.00
_cell_angle_beta 90.00
_cell_angle_gamma 90.00
loop_
_atom_site_label
_atom_site_type_symbol
_atom_site_fract_x
_atom_site_fract_y
_atom_site_fract_z
_atom_site_occupancy
Pm1 Pm 0.0000 0.0000 0.0000 1
Sm1 Sm 0.0000 0.0000 0.5000 1
Al1 Al 0.2500 0.2500 0.7500 1
Cu1 Cu 0.2500 0.2500 0.2500 1
# volume: 24.3 Å³ per atom
# energy above the most stable polymorph in this dataset: 39 meV per atom

# Er4Ni2Pb (GGA-PBE, optimized geometry)
data_Er4Ni2Pb
_space_group_name_H-M_alt 'R -3 m'
_space_group_IT_number 166
_space_group_name_Hall '-R 3 2"'
_cell_length_a 4.6300
_cell_length_b 4.6300
_cell_length_c 28.3613
_cell_angle_alpha 90.00
_cell_angle_beta 90.00
_cell_angle_gamma 120.00
loop_
_atom_site_label
_atom_site_type_symbol
_atom_site_fract_x
_atom_site_fract_y
_atom_site_fract_z
_atom_site_occupancy
Er1 Er 0.0000 0.0000 0.1102 1
Er2 Er 0.0000 0.0000 0.2994 1
Ni1 Ni 0.0000 0.0000 0.3991 1
Pb1 Pb 0.0000 0.0000 0.5000 1
# volume: 25.1 Å³ per atom

# TiGaSe2N (GGA-PBE, optimized geometry)
data_TiGaSe2N
_space_group_name_H-M_alt 'P 4/m m m'
_space_group_IT_number 123
_space_group_name_Hall '-P 4 2'
_cell_length_a 5.1451
_cell_length_b 5.1451
_cell_length_c 3.7900
_cell_angle_alpha 90.00
_cell_angle_beta 90.00
_cell_angle_gamma 90.00
loop_
_atom_site_label
_atom_site_type_symbol
_atom_site_fract_x
_atom_site_fract_y
_atom_site_fract_z
_atom_site_occupancy
Ti1 Ti 0.0000 0.0000 0.0000 1
Ga1 Ga 0.5000 0.5000 0.5000 1
Se1 Se 0.0000 0.5000 0.0000 1
N1 N 0.0000 0.0000 0.5000 1
# volume: 20.1 Å³ per atom
# energy above the most stable polymorph in this dataset: 0 meV per atom
# E_form (uncorrected): -0.1543 eV/atom

The calculation returns the following VASP energy values, one per record and in order: -6.53 -6.22 -7.30 -4.55 -5.04 -5.40 eV per atom.